Record 1
{
  "formula": "La2In3Rh4",
  "functional": "PBE",
  "state": "relaxed",
  "rho_g_cm3": 9.10,
  "m_tot_mub_per_atom": 0.0004,
  "n_ef_per_ev_fu": 4.33,
  "final_energy_ev_per_cell": -106.87,
  "crystal_system": "orthorhombic",
  "spacegroup": "Cmce, No. 64",
  "lattice": [[3.0183, -8.7428, 0.0000], [3.0183, 8.7428, 0.0000], [0.0000, 0.0000, 7.1523]],
  "species": ["La", "La", "La", "La", "In", "In", "In", "In", "In", "In", "Rh", "Rh", "Rh", "Rh", "Rh", "Rh", "Rh", "Rh"],
  "fractional_positions": [[0.1032, 0.8968, 0.9216], [0.3968, 0.6032, 0.4216], [0.6032, 0.3968, 0.5784], [0.8968, 0.1032, 0.0784], [0.0000, 0.0000, 0.5000], [0.0149, 0.4851, 0.7500], [0.4851, 0.0149, 0.2500], [0.5000, 0.5000, 0.0000], [0.5149, 0.9851, 0.7500], [0.9851, 0.5149, 0.2500], [0.1637, 0.8363, 0.5318], [0.1725, 0.3275, 0.7500], [0.3275, 0.1725, 0.2500], [0.3363, 0.6637, 0.0318], [0.6637, 0.3363, 0.9682], [0.6725, 0.8275, 0.7500], [0.8275, 0.6725, 0.2500], [0.8363, 0.1637, 0.4682]]
}


Record 2
{
  "formula": "Ho2CdCu12Ni3",
  "functional": "PBE",
  "state": "relaxed",
  "rho_g_cm3": 8.86,
  "m_tot_mub_per_atom": 0.0000,
  "n_ef_per_ev_fu": 7.38,
  "final_energy_ev_per_cell": -75.63,
  "crystal_system": "trigonal",
  "spacegroup": "R-3m, No. 166",
  "lattice": [[4.2681, 2.4642, 4.1028], [-4.2681, 2.4642, 4.1028], [0.0000, -4.9283, 4.1028]],
  "species": ["Ho", "Ho", "Cd", "Cu", "Cu", "Cu", "Cu", "Cu", "Cu", "Cu", "Cu", "Cu", "Cu", "Cu", "Cu", "Ni", "Ni", "Ni"],
  "fractional_positions": [[0.2419, 0.2419, 0.2419], [0.7581, 0.7581, 0.7581], [0.5000, 0.5000, 0.5000], [0.0809, 0.0809, 0.6427], [0.0809, 0.6427, 0.0809], [0.2042, 0.7044, 0.7044], [0.2956, 0.2956, 0.7958], [0.2956, 0.7958, 0.2956], [0.3573, 0.9191, 0.9191], [0.6427, 0.0809, 0.0809], [0.7044, 0.2042, 0.7044], [0.7044, 0.7044, 0.2042], [0.7958, 0.2956, 0.2956], [0.9191, 0.3573, 0.9191], [0.9191, 0.9191, 0.3573], [0.0000, 0.5000, 0.5000], [0.5000, 0.0000, 0.5000], [0.5000, 0.5000, 0.0000]]
}


Record 3
{
  "formula": "CeSi4Ni9",
  "functional": "PBE",
  "state": "relaxed",
  "rho_g_cm3": 7.42,
  "raw_formation_energy_ev_per_atom": -0.58,
  "m_tot_mub_per_atom": 0.0164,
  "n_ef_per_ev_fu": 12.79,
  "final_energy_ev_per_cell": -175.65,
  "crystal_system": "tetragonal",
  "spacegroup": "I4/mcm, No. 140",
  "lattice": [[-3.9104, 3.9104, 5.7092], [3.9104, -3.9104, 5.7092], [3.9104, 3.9104, -5.7092]],
  "species": ["Ce", "Ce", "Si", "Si", "Si", "Si", "Si", "Si", "Si", "Si", "Ni", "Ni", "Ni", "Ni", "Ni", "Ni", "Ni", "Ni", "Ni", "Ni", "Ni", "Ni", "Ni", "Ni", "Ni", "Ni", "Ni", "Ni"],
  "fractional_positions": [[0.2500, 0.2500, 0.0000], [0.7500, 0.7500, 0.0000], [0.0533, 0.5533, 0.8410], [0.2123, 0.0533, 0.5000], [0.2877, 0.7877, 0.8410], [0.4467, 0.2877, 0.5000], [0.5533, 0.7123, 0.5000], [0.7123, 0.2123, 0.1590], [0.7877, 0.9467, 0.5000], [0.9467, 0.4467, 0.1590], [0.0000, 0.5000, 0.5000], [0.0538, 0.8179, 0.5000], [0.0688, 0.2035, 0.2723], [0.1821, 0.6821, 0.2358], [0.2035, 0.9312, 0.1347], [0.2965, 0.4312, 0.7277], [0.3179, 0.5538, 0.5000], [0.4312, 0.7035, 0.1347], [0.4462, 0.9462, 0.7642], [0.5000, 0.0000, 0.5000], [0.5538, 0.0538, 0.2358], [0.5688, 0.2965, 0.8653], [0.6821, 0.4462, 0.5000], [0.7035, 0.5688, 0.2723], [0.7965, 0.0688, 0.8653], [0.8179, 0.3179, 0.7642], [0.9312, 0.7965, 0.7277], [0.9462, 0.1821, 0.5000]]
}


Record 4
{
  "formula": "NbFeIr3",
  "functional": "PBE",
  "state": "relaxed",
  "rho_g_cm3": 13.70,
  "polymorph_energy_mev_per_atom": 555,
  "m_tot_mub_per_atom": 0.7092,
  "n_ef_per_ev_fu": 4.65,
  "final_energy_ev_per_cell": -39.45,
  "crystal_system": "cubic",
  "spacegroup": "Pm-3m, No. 221",
  "lattice": [[4.4467, 0.0000, 0.0000], [0.0000, 4.4467, 0.0000], [0.0000, 0.0000, 4.4467]],
  "species": ["Nb", "Fe", "Ir", "Ir", "Ir"],
  "fractional_positions": [[0.0000, 0.0000, 0.0000], [0.5000, 0.5000, 0.5000], [0.0000, 0.5000, 0.5000], [0.5000, 0.0000, 0.5000], [0.5000, 0.5000, 0.0000]]
}


Record 5
{
  "formula": "TbSm3Ho2",
  "functional": "PBE",
  "state": "relaxed",
  "rho_g_cm3": 7.99,
  "polymorph_energy_mev_per_atom": 0,
  "m_tot_mub_per_atom": 0.0000,
  "n_ef_per_ev_fu": 7.41,
  "final_energy_ev_per_cell": -55.87,
  "crystal_system": "triclinic",
  "spacegroup": "P-1, No. 2",
  "lattice": [[7.2210, 0.0000, 0.0000], [3.6093, 6.2548, 0.0000], [1.8164, 1.0428, 8.6524]],
  "species": ["Tb", "Tb", "Sm", "Sm", "Sm", "Sm", "Sm", "Sm", "Ho", "Ho", "Ho", "Ho"],
  "fractional_positions": [[0.2489, 0.2512, 0.4985], [0.7511, 0.7488, 0.5015], [0.2489, 0.7510, 0.4982], [0.3604, 0.3612, 0.8348], [0.3605, 0.8611, 0.8340], [0.6395, 0.1389, 0.1660], [0.6396, 0.6388, 0.1652], [0.7511, 0.2490, 0.5018], [0.1374, 0.1400, 0.1664], [0.1370, 0.6398, 0.1672], [0.8630, 0.3602, 0.8328], [0.8626, 0.8600, 0.8336]]
}


Record 6
{
  "formula": "CaPm3S4",
  "functional": "PBE",
  "state": "relaxed",
  "rho_g_cm3": 5.41,
  "raw_formation_energy_ev_per_atom": -2.05,
  "m_tot_mub_per_atom": 0.0000,
  "n_ef_per_ev_fu": 2.83,
  "final_energy_ev_per_cell": -49.12,
  "crystal_system": "cubic",
  "spacegroup": "Pm-3m, No. 221",
  "lattice": [[5.6997, 0.0000, 0.0000], [0.0000, 5.6997, 0.0000], [0.0000, 0.0000, 5.6997]],
  "species": ["Ca", "Pm", "Pm", "Pm", "S", "S", "S", "S"],
  "fractional_positions": [[0.0000, 0.0000, 0.0000], [0.0000, 0.5000, 0.5000], [0.5000, 0.0000, 0.5000], [0.5000, 0.5000, 0.0000], [0.0000, 0.0000, 0.5000], [0.0000, 0.5000, 0.0000], [0.5000, 0.0000, 0.0000], [0.5000, 0.5000, 0.5000]]
}


Record 7
{
  "formula": "TaCl",
  "functional": "PBE",
  "state": "relaxed",
  "rho_g_cm3": 10.53,
  "raw_formation_energy_ev_per_atom": 0.72,
  "m_tot_mub_per_atom": 0.0000,
  "n_ef_per_ev_fu": 1.28,
  "final_energy_ev_per_cell": -24.51,
  "crystal_system": "tetragonal",
  "spacegroup": "I4_1/amd, No. 141",
  "lattice": [[-1.8559, 1.8559, 4.9518], [1.8559, -1.8559, 4.9518], [1.8559, 1.8559, -4.9518]],
  "species": ["Ta", "Ta", "Cl", "Cl"],
  "fractional_positions": [[0.3750, 0.6250, 0.7500], [0.6250, 0.3750, 0.2500], [0.1250, 0.8750, 0.2500], [0.8750, 0.1250, 0.7500]]
}


Record 8
{
  "formula": "Ac12TlPd6",
  "functional": "PBE",
  "state": "relaxed",
  "rho_g_cm3": 9.00,
  "m_tot_mub_per_atom": 0.0000,
  "n_ef_per_ev_fu": 15.69,
  "final_energy_ev_per_cell": -93.22,
  "crystal_system": "cubic",
  "spacegroup": "Im-3, No. 204",
  "lattice": [[-5.4801, 5.4801, 5.4801], [5.4801, -5.4801, 5.4801], [5.4801, 5.4801, -5.4801]],
  "species": ["Ac", "Ac", "Ac", "Ac", "Ac", "Ac", "Ac", "Ac", "Ac", "Ac", "Ac", "Ac", "Tl", "Pd", "Pd", "Pd", "Pd", "Pd", "Pd"],
  "fractional_positions": [[0.1245, 0.8182, 0.3063], [0.1818, 0.3063, 0.4881], [0.1818, 0.6937, 0.8755], [0.3063, 0.1245, 0.8182], [0.3063, 0.4881, 0.1818], [0.4881, 0.1818, 0.3063], [0.5119, 0.8182, 0.6937], [0.6937, 0.5119, 0.8182], [0.6937, 0.8755, 0.1818], [0.8182, 0.3063, 0.1245], [0.8182, 0.6937, 0.5119], [0.8755, 0.1818, 0.6937], [0.0000, 0.0000, 0.0000], [0.1296, 0.6296, 0.5000], [0.3704, 0.5000, 0.8704], [0.5000, 0.1296, 0.6296], [0.5000, 0.8704, 0.3704], [0.6296, 0.5000, 0.1296], [0.8704, 0.3704, 0.5000]]
}